First-principles (PBE-GGA) data for a geometry-optimized Sb3Te5S12 structure, as listed in the Alexandria database.

Unit cell a=14.145 b=14.145 c=14.145 alpha=109.47 beta=109.47 gamma=109.47
Fractional coordinates of all 80 atoms:
1 Sb 0.125 0.250 0.375
2 Sb 0.125 0.375 0.750
3 Sb 0.250 0.375 0.125
4 Sb 0.250 0.875 0.625
5 Sb 0.375 0.125 0.250
6 Sb 0.375 0.750 0.125
7 Sb 0.625 0.250 0.875
8 Sb 0.625 0.875 0.750
9 Sb 0.750 0.125 0.375
10 Sb 0.750 0.625 0.875
11 Sb 0.875 0.625 0.250
12 Sb 0.875 0.750 0.625
13 Te 0.000 0.000 0.000
14 Te 0.000 0.000 0.500
15 Te 0.000 0.500 0.000
16 Te 0.000 0.500 0.500
17 Te 0.125 0.750 0.875
18 Te 0.125 0.875 0.250
19 Te 0.250 0.125 0.875
20 Te 0.250 0.625 0.375
21 Te 0.375 0.250 0.625
22 Te 0.375 0.625 0.750
23 Te 0.500 0.000 0.000
24 Te 0.500 0.000 0.500
25 Te 0.500 0.500 0.000
26 Te 0.500 0.500 0.500
27 Te 0.625 0.375 0.250
28 Te 0.625 0.750 0.375
29 Te 0.750 0.375 0.625
30 Te 0.750 0.875 0.125
31 Te 0.875 0.125 0.750
32 Te 0.875 0.250 0.125
33 S 0.053 0.220 0.143
34 S 0.053 0.333 0.911
35 S 0.078 0.720 0.667
36 S 0.078 0.857 0.411
37 S 0.089 0.643 0.422
38 S 0.089 0.947 0.667
39 S 0.143 0.053 0.220
40 S 0.143 0.589 0.922
41 S 0.167 0.220 0.578
42 S 0.167 0.447 0.589
43 S 0.220 0.143 0.053
44 S 0.220 0.578 0.167
45 S 0.280 0.333 0.922
46 S 0.280 0.447 0.357
47 S 0.333 0.911 0.053
48 S 0.333 0.922 0.280
49 S 0.357 0.280 0.447
50 S 0.357 0.578 0.911
51 S 0.411 0.078 0.857
52 S 0.411 0.833 0.553
53 S 0.422 0.089 0.643
54 S 0.422 0.833 0.780
55 S 0.447 0.357 0.280
56 S 0.447 0.589 0.167
57 S 0.553 0.411 0.833
58 S 0.553 0.643 0.720
59 S 0.578 0.167 0.220
60 S 0.578 0.911 0.357
61 S 0.589 0.167 0.447
62 S 0.589 0.922 0.143
63 S 0.643 0.422 0.089
64 S 0.643 0.720 0.553
65 S 0.667 0.078 0.720
66 S 0.667 0.089 0.947
67 S 0.720 0.553 0.643
68 S 0.720 0.667 0.078
69 S 0.780 0.422 0.833
70 S 0.780 0.857 0.947
71 S 0.833 0.553 0.411
72 S 0.833 0.780 0.422
73 S 0.857 0.411 0.078
74 S 0.857 0.947 0.780
75 S 0.911 0.053 0.333
76 S 0.911 0.357 0.578
77 S 0.922 0.143 0.589
78 S 0.922 0.280 0.333
79 S 0.947 0.667 0.089
80 S 0.947 0.780 0.857

Properties
calculated total energy = -288.452 eV/cell
volume = 27.23 A^3/atom
M_tot = 0.0 μB per formula unit
formation energy without anion corrections = 0.275 eV/atom



First-principles (PBE-GGA) data for a geometry-optimized SbTe2S5 structure, as listed in the Alexandria database.

Unit cell a=6.140 b=6.140 c=7.971 alpha=96.96 beta=96.96 gamma=69.25
Fractional coordinates of all 8 atoms:
1 Sb 0.000 0.000 0.000
2 Te 0.062 0.062 0.511
3 Te 0.637 0.637 0.183
4 S 0.236 0.718 0.326
5 S 0.418 0.916 0.962
6 S 0.718 0.236 0.326
7 S 0.890 0.890 0.687
8 S 0.916 0.418 0.962

Properties
calculated total energy = -30.313 eV/cell
volume = 34.75 A^3/atom
M_tot = 0.0 μB per formula unit
formation energy without anion corrections = 0.091 eV/atom



First-principles (PBE-GGA) data for a geometry-optimized SbTe2S structure, as listed in the Alexandria database.

Unit cell a=10.526 b=10.526 c=10.526 alpha=18.82 beta=18.82 gamma=18.82
Fractional coordinates of all 4 atoms:
1 Sb 0.000 0.000 0.000
2 Te 0.099 0.099 0.099
3 Te 0.901 0.901 0.901
4 S 0.500 0.500 0.500

Properties
calculated total energy = -13.103 eV/cell
volume = 26.51 A^3/atom
M_tot = 0.0 μB per formula unit
formation energy without anion corrections = 0.358 eV/atom